DFT (PBE-GGA) results for an optimized crystal structure of SrCa2TiBe.

Results
E_tot (eV/atom): -1.79
Crystal system: tetragonal
Total magnetization (Bohr magnetons per cell): 0.37

Structure (POSCAR):
```
SrCa2TiBe
1.0
5.9140 0.0000 0.0000
0.0000 4.7995 0.0000
0.0000 0.0000 5.9140
Sr Ca Be Ti
1 2 1 1
Direct
0.0000 0.0000 0.0000
0.0000 0.0000 0.5000
0.5000 0.0000 0.0000
0.0000 0.5000 0.0000
0.5000 0.5000 0.5000
```

=====

DFT (PBE-GGA) results for an optimized crystal structure of V2CdReP.

Results
E_tot (eV/atom): -6.99
Crystal system: tetragonal
Total magnetization (Bohr magnetons per cell): 2.58

Structure (POSCAR):
```
V2CdReP
1.0
-0.5495 -1.5167 -4.1146
4.1276 -1.5246 0.0108
-1.4293 -3.8584 1.6131
Re V P Cd
1 2 1 1
Direct
0.0000 0.5000 0.0000
0.0000 0.0000 0.5000
0.5000 0.0000 0.0000
0.0000 0.0000 0.0000
0.5000 0.5000 0.5000
```

=====

DFT (PBE-GGA) results for an optimized crystal structure of Cs3Ga2Au3.

Results
E_tot (eV/atom): -2.52
Crystal system: orthorhombic
Total magnetization (Bohr magnetons per cell): 0.00

Structure (POSCAR):
```
Cs3Ga2Au3
1.0
-0.0511 4.0182 -0.8102
-6.8727 -2.0621 0.5771
0.4547 3.9261 19.4437
Cs Ga Au
6 4 6
Direct
0.6251 0.2502 0.0462
0.3749 0.7498 0.5462
0.6251 0.2502 0.4538
0.3749 0.7498 0.9538
0.5543 0.1087 0.2500
0.4457 0.8913 0.7500
0.6992 0.3985 0.6621
0.3008 0.6015 0.1621
0.6992 0.3985 0.8379
0.3008 0.6015 0.3379
0.9037 0.8074 0.1137
0.0963 0.1926 0.6137
0.9037 0.8074 0.3863
0.0963 0.1926 0.8863
0.8142 0.6284 0.2500
0.1858 0.3716 0.7500
```

=====

DFT (PBE-GGA) results for an optimized crystal structure of PmY6Tm12.

Results
E_tot (eV/atom): -4.63
Crystal system: trigonal
Total magnetization (Bohr magnetons per cell): 0.00

Structure (POSCAR):
```
PmY6Tm12
1.0
-0.7810 -0.9874 8.6608
2.7615 -8.0517 -2.0342
7.6981 4.1586 -0.1970
Pm Y Tm
1 6 12
Direct
0.0000 0.0000 0.0000
0.7408 0.2060 0.2060
0.2060 0.2060 0.7408
0.2060 0.7408 0.2060
0.7940 0.7940 0.2592
0.2592 0.7940 0.7940
0.7940 0.2592 0.7940
0.8822 0.1178 0.5000
0.8159 0.5294 0.5294
0.5294 0.5294 0.8159
0.4706 0.1841 0.4706
0.4706 0.4706 0.1841
0.1841 0.4706 0.4706
0.1178 0.5000 0.8822
0.5000 0.8822 0.1178
0.1178 0.8822 0.5000
0.8822 0.5000 0.1178
0.5000 0.1178 0.8822
0.5294 0.8159 0.5294
```

=====

DFT (PBE-GGA) results for an optimized crystal structure of Ag2TeBr2.

Results
Energy relative to the elements, uncorrected (eV per formula unit): 0.38
E_tot (eV/atom): -2.36
Crystal system: tetragonal
Total magnetization (Bohr magnetons per cell): 0.00

Structure (POSCAR):
```
Ag2TeBr2
1.0
-5.3181 0.8943 -6.3281
0.3145 -8.1859 -1.4211
-2.7480 -0.4943 2.2395
Te Br Ag
2 4 4
Direct
0.0000 0.0000 0.0000
0.5000 0.5000 0.0000
0.1416 0.6416 0.5000
0.6416 0.8584 0.5000
0.8584 0.3584 0.5000
0.3584 0.1416 0.5000
0.3317 0.8317 0.0000
0.8317 0.6683 0.0000
0.6683 0.1683 0.0000
0.1683 0.3317 0.0000
```

=====

DFT (PBE-GGA) results for an optimized crystal structure of SrRe2As.

Results
E_tot (eV/atom): -6.92
Crystal system: orthorhombic
Total magnetization (Bohr magnetons per cell): 0.00

Structure (POSCAR):
```
SrRe2As
1.0
-0.4251 3.2504 -0.4337
-3.2095 -0.0057 3.1028
3.5500 0.9545 3.6738
Re As Sr
2 1 1
Direct
0.0000 0.0000 0.0000
0.5000 0.5000 0.0000
0.0000 0.5000 0.5000
0.5000 0.0000 0.5000
```

=====

Which of these has the lowest E_tot? V2CdReP

=====

Which of these has the highest E_tot? SrCa2TiBe

=====

Number 5 is which compound? Ag2TeBr2

=====

Look up the total magnetization of the third one. 0.00 Bohr magnetons per cell